A plane-wave DFT calculation with GGA-PBE was carried out for an optimized crystal structure of K5Fe. Values from VASP.

space-group type = No. 189
energy above the lowest structure with this stoichiometry = 0.0246 eV/atom
DFT formation energy = 0.576 eV/atom

The structure in Quantum ESPRESSO input format:
```
&SYSTEM
  ibrav = 0, nat = 6, ntyp = 2
/
ATOMIC_SPECIES
K 39.10 K.upf
Fe 55.84 Fe.upf
ATOMIC_POSITIONS crystal
K 0.0000 0.7019 0.0000
K 0.2981 0.2981 0.0000
K 0.3333 0.6667 0.5000
K 0.6667 0.3333 0.5000
K 0.7019 0.0000 0.0000
Fe 0.0000 0.0000 0.5000
CELL_PARAMETERS angstrom
7.6172 0.0000 0.0000
-3.8086 6.5967 0.0000
0.0000 0.0000 6.6350
```


A plane-wave DFT calculation with GGA-PBE was carried out for an optimized crystal structure of AlCF2. Values from VASP.

space-group type = No. 141
energy above the lowest structure with this stoichiometry = 0.0000 eV/atom
ΔE_f (raw) = -0.29 eV per atom

The structure in Quantum ESPRESSO input format:
```
&SYSTEM
  ibrav = 0, nat = 8, ntyp = 3
/
ATOMIC_SPECIES
Al 26.98 Al.upf
C 12.01 C.upf
F 19.00 F.upf
ATOMIC_POSITIONS crystal
Al 0.3750 0.6250 0.7500
Al 0.6250 0.3750 0.2500
C 0.1250 0.8750 0.2500
C 0.8750 0.1250 0.7500
F 0.0000 0.5000 0.5000
F 0.5000 0.0000 0.0000
F 0.5000 0.5000 0.0000
F 0.5000 0.5000 0.5000
CELL_PARAMETERS angstrom
-2.8117 2.8117 4.0827
2.8117 -2.8117 4.0827
2.8117 2.8117 -4.0827
```


A plane-wave DFT calculation with GGA-PBE was carried out for an optimized crystal structure of TbSm2TmIn2. Values from VASP.

space-group type = No. 26
DFT formation energy = -0.352 eV/atom

The structure in Quantum ESPRESSO input format:
```
&SYSTEM
  ibrav = 0, nat = 12, ntyp = 4
/
ATOMIC_SPECIES
Tb 158.93 Tb.upf
Sm 150.36 Sm.upf
Tm 168.93 Tm.upf
In 114.82 In.upf
ATOMIC_POSITIONS crystal
Tb 0.0000 0.0383 0.0000
Tb 0.0000 0.9617 0.5000
Sm 0.0000 0.3184 0.3516
Sm 0.0000 0.6816 0.8516
Sm 0.5000 0.4607 0.0722
Sm 0.5000 0.5393 0.5722
Tm 0.5000 0.1806 0.7218
Tm 0.5000 0.8194 0.2218
In 0.0000 0.3511 0.8255
In 0.0000 0.6489 0.3255
In 0.5000 0.1355 0.2503
In 0.5000 0.8645 0.7503
CELL_PARAMETERS angstrom
5.2188 0.0000 0.0000
0.0000 9.9160 0.0000
0.0000 0.0000 6.7728
```


Number 1: magnetic moment 3.17 μB/f.u., DOS(E_F) 8.94 states/eV/f.u.. Number 2: magnetic moment 2.36 μB/f.u., DOS(E_F) 4.88 states/eV/f.u.. Number 3: magnetic moment 0.00 μB/f.u., DOS(E_F) 5.80 states/eV/f.u..